Below is crystalline Er5Al at its relaxed geometry, with properties calculated at the PBE level.

- DFT formation energy (eV/atom) = -0.11

abc: 3.639 6.325 8.445
angles: 67.59 77.56 73.28
Fractional positions:
Al 0.000 0.000 0.000
Er 0.643 0.574 0.141
Er 0.357 0.426 0.859
Er 0.000 0.500 0.500
Er 0.334 0.035 0.297
Er 0.666 0.965 0.703

=====

Below is crystalline LiW2Se at its relaxed geometry, with properties calculated at the PBE level.

- energy relative to the elements, uncorrected (eV/atom) = 0.28

abc: 2.884 2.884 8.731
angles: 90.00 90.00 112.15
Fractional positions:
Se 0.500 0.500 0.750
W 0.000 0.000 0.006
W 0.500 0.500 0.238
Li 0.000 0.000 0.506

=====

Below is crystalline CaTa2IO at its relaxed geometry, with properties calculated at the PBE level.

- energy relative to the elements, uncorrected (eV/atom) = 1.64

abc: 5.451 4.045 5.451
angles: 90.00 90.00 90.00
Fractional positions:
I 0.500 0.500 0.500
Ca 0.000 0.000 0.000
Ta 0.500 0.000 0.000
Ta 0.000 0.000 0.500
O 0.000 0.500 0.000

=====

Below is crystalline In2CoHgBr at its relaxed geometry, with properties calculated at the PBE level.

- energy relative to the elements, uncorrected (eV/atom) = -0.04

abc: 5.068 5.068 5.063
angles: 90.00 90.00 90.00
Fractional positions:
In 0.000 0.500 0.000
In 0.500 0.000 0.000
Co 0.000 0.000 0.000
Br 0.500 0.500 0.500
Hg 0.000 0.000 0.500

=====

Below is crystalline Zr3Be2Co at its relaxed geometry, with properties calculated at the PBE level.

- DFT formation energy (eV/atom) = -0.16

abc: 3.846 9.824 10.471
angles: 90.00 90.00 90.00
Fractional positions:
Zr 0.750 0.307 0.778
Zr 0.250 0.128 0.541
Zr 0.750 0.193 0.278
Zr 0.750 0.572 0.622
Zr 0.250 0.072 0.878
Zr 0.750 0.872 0.459
Zr 0.250 0.807 0.722
Zr 0.250 0.693 0.222
Zr 0.750 0.628 0.959
Zr 0.250 0.428 0.378
Zr 0.750 0.928 0.122
Zr 0.250 0.372 0.041
Co 0.250 0.117 0.126
Co 0.750 0.883 0.874
Co 0.250 0.383 0.626
Co 0.750 0.617 0.374
Be 0.750 0.187 0.021
Be 0.250 0.984 0.308
Be 0.750 0.484 0.192
Be 0.750 0.016 0.692
Be 0.750 0.313 0.521
Be 0.250 0.516 0.808
Be 0.250 0.687 0.479
Be 0.250 0.813 0.979

=====

Below is crystalline SrPrDy2S4 at its relaxed geometry, with properties calculated at the PBE level.

- energy relative to the elements, uncorrected (eV/atom) = -2.01

abc: 4.002 7.022 6.993
angles: 71.03 90.00 90.00
Fractional positions:
S 0.000 0.231 0.256
S 0.500 0.230 0.757
S 0.500 0.770 0.243
S 0.000 0.769 0.744
Sr 0.000 0.500 0.500
Dy 0.000 0.000 0.000
Dy 0.500 0.000 0.500
Pr 0.500 0.500 0.000

=====

Below is crystalline Mg2SbSe at its relaxed geometry, with properties calculated at the PBE level.

- energy relative to the elements, uncorrected (eV/atom) = -0.43

abc: 3.449 3.449 7.573
angles: 90.00 90.00 90.00
Fractional positions:
Mg 0.000 0.000 0.960
Mg 0.000 0.000 0.540
Sb 0.500 0.500 0.250
Se 0.500 0.500 0.750

=====

Below is crystalline ZrCrCo2C at its relaxed geometry, with properties calculated at the PBE level.

- DFT formation energy (eV/atom) = -0.16

abc: 3.857 3.857 3.967
angles: 90.00 90.00 90.00
Fractional positions:
Co 0.500 0.000 0.000
Co 0.000 0.500 0.000
C 0.000 0.000 0.000
Cr 0.000 0.000 0.500
Zr 0.500 0.500 0.500

=====

Below is crystalline MgTl3I6 at its relaxed geometry, with properties calculated at the PBE level.

- energy relative to the elements, uncorrected (eV/atom) = -0.64

abc: 9.610 9.610 9.610
angles: 91.10 91.10 91.10
Fractional positions:
I 0.717 0.904 0.071
I 0.283 0.096 0.929
I 0.441 0.548 0.204
I 0.071 0.717 0.904
I 0.548 0.204 0.441
I 0.204 0.441 0.548
I 0.796 0.559 0.452
I 0.452 0.796 0.559
I 0.929 0.283 0.096
I 0.904 0.071 0.717
I 0.559 0.452 0.796
I 0.096 0.929 0.283
Tl 0.903 0.426 0.763
Tl 0.574 0.237 0.097
Tl 0.763 0.903 0.426
Tl 0.426 0.763 0.903
Tl 0.097 0.574 0.237
Tl 0.237 0.097 0.574
Mg 0.000 0.000 0.000
Mg 0.500 0.500 0.500

=====

Below is crystalline CsGa2Au3 at its relaxed geometry, with properties calculated at the PBE level.

- DFT formation energy (eV/atom) = -0.25

abc: 4.782 8.816 9.041
angles: 112.33 90.00 105.74
Fractional positions:
Ga 0.537 0.073 0.292
Ga 0.463 0.927 0.708
Ga 0.853 0.705 0.427
Ga 0.147 0.295 0.573
Au 0.298 0.595 0.546
Au 0.702 0.405 0.454
Au 0.015 0.030 0.682
Au 0.985 0.970 0.318
Au 0.395 0.790 0.346
Au 0.605 0.210 0.654
Cs 0.153 0.307 0.100
Cs 0.847 0.693 0.900